Entry from Alexandria: an optimized crystal structure of Na4H4Pd (GGA-PBE).

E_tot	-2.808	eV per atom
crystal system	tetragonal

Unit cell a=4.813 b=5.673 c=5.673 alpha=79.64 beta=64.90 gamma=64.90
Atoms (fractional coordinates):
H: 0.938 0.828 0.297
H: 0.062 0.172 0.703
H: 0.765 0.297 0.172
H: 0.235 0.703 0.828
Na: 0.608 0.175 0.609
Na: 0.217 0.391 0.175
Na: 0.392 0.825 0.391
Na: 0.783 0.609 0.825
Pd: 0.000 0.000 0.000

Entry from Alexandria: an optimized crystal structure of Na3HPd (GGA-PBE).

E_tot	-2.165	eV per atom
excess energy over the best structure of this formula in the dataset	408.1	meV per atom
crystal system	cubic

Unit cell a=5.437 b=5.437 c=5.437 alpha=90.00 beta=90.00 gamma=90.00
Atoms (fractional coordinates):
Na: 0.500 0.000 0.000
Na: 0.000 0.500 0.000
Na: 0.000 0.000 0.500
H: 0.500 0.500 0.500
Pd: 0.000 0.000 0.000

Entry from Alexandria: an optimized crystal structure of NaH12Pd7 (GGA-PBE).

E_tot	-3.952	eV per atom
crystal system	trigonal

Unit cell a=9.881 b=5.612 c=5.613 alpha=90.95 beta=54.07 gamma=125.93
Atoms (fractional coordinates):
Na: 0.000 0.000 0.000
H: 0.058 0.202 0.332
H: 0.810 0.226 0.642
H: 0.856 0.467 0.202
H: 0.144 0.533 0.798
H: 0.942 0.798 0.668
H: 0.389 0.331 0.467
H: 0.611 0.669 0.533
H: 0.415 0.868 0.774
H: 0.585 0.132 0.226
H: 0.452 0.642 0.132
H: 0.548 0.358 0.868
H: 0.190 0.774 0.358
Pd: 0.244 0.174 0.284
Pd: 0.756 0.826 0.716
Pd: 0.472 0.716 0.458
Pd: 0.071 0.542 0.174
Pd: 0.929 0.458 0.826
Pd: 0.528 0.284 0.542
Pd: 0.500 0.000 0.000

Entry from Alexandria: an optimized crystal structure of Na2HPd2 (GGA-PBE).

E_tot	-3.387	eV per atom
crystal system	monoclinic

Unit cell a=6.348 b=5.035 c=5.826 alpha=91.32 beta=123.01 gamma=90.00
Atoms (fractional coordinates):
Pd: 0.990 0.997 0.745
Pd: 0.755 0.497 0.745
Pd: 0.010 0.003 0.255
Pd: 0.245 0.503 0.255
Na: 0.232 0.493 0.742
Na: 0.510 0.993 0.742
Na: 0.490 0.007 0.258
Na: 0.768 0.507 0.258
H: 0.994 0.250 0.000
H: 0.006 0.750 0.000

Entry from Alexandria: an optimized crystal structure of NaHPd3 (GGA-PBE).

E_tot	-4.142	eV per atom
excess energy over the best structure of this formula in the dataset	51.1	meV per atom
crystal system	monoclinic

Unit cell a=10.017 b=7.667 c=7.667 alpha=97.76 beta=131.69 gamma=48.31
Atoms (fractional coordinates):
H: 0.100 0.492 0.256
H: 0.400 0.756 0.992
H: 0.900 0.508 0.744
H: 0.600 0.244 0.008
Na: 0.250 0.963 0.463
Na: 0.250 0.462 0.962
Na: 0.750 0.037 0.537
Na: 0.750 0.538 0.038
Pd: 0.749 0.409 0.661
Pd: 0.249 0.839 0.091
Pd: 0.749 0.292 0.293
Pd: 0.758 0.908 0.166
Pd: 0.751 0.161 0.909
Pd: 0.742 0.666 0.408
Pd: 0.251 0.591 0.339
Pd: 0.242 0.092 0.834
Pd: 0.751 0.793 0.792
Pd: 0.258 0.334 0.592
Pd: 0.249 0.207 0.208
Pd: 0.251 0.708 0.707

Entry from Alexandria: an optimized crystal structure of NaHPd3 (GGA-PBE).

E_tot	-4.193	eV per atom
excess energy over the best structure of this formula in the dataset	0.0	meV per atom
crystal system	orthorhombic

Unit cell a=2.829 b=5.106 c=5.106 alpha=110.51 beta=90.00 gamma=90.00
Atoms (fractional coordinates):
Pd: 0.500 0.612 0.908
Pd: 0.000 0.092 0.908
Pd: 0.500 0.092 0.388
Na: 0.000 0.597 0.403
H: 0.500 0.235 0.765

Entry from Alexandria: an optimized crystal structure of NaH2Pd2 (GGA-PBE).

E_tot	-3.850	eV per atom
excess energy over the best structure of this formula in the dataset	30.8	meV per atom
crystal system	tetragonal

Unit cell a=3.783 b=3.783 c=5.588 alpha=70.21 beta=70.21 gamma=90.00
Atoms (fractional coordinates):
Pd: 0.281 0.281 0.439
Pd: 0.719 0.719 0.561
Na: 0.000 0.000 0.000
H: 0.250 0.750 0.500
H: 0.750 0.250 0.500

Entry from Alexandria: an optimized crystal structure of NaHPd3 (GGA-PBE).

E_tot	-4.187	eV per atom
excess energy over the best structure of this formula in the dataset	6.2	meV per atom
crystal system	monoclinic

Unit cell a=5.746 b=5.476 c=5.851 alpha=120.78 beta=120.62 gamma=74.90
Atoms (fractional coordinates):
Pd: 0.708 0.958 0.411
Pd: 0.703 0.936 0.893
Pd: 0.827 0.458 0.971
Pd: 0.832 0.436 0.458
Pd: 0.189 0.945 0.398
Pd: 0.346 0.445 0.476
H: 0.533 0.113 0.644
H: 0.002 0.613 0.378
Na: 0.334 0.453 0.976
Na: 0.201 0.953 0.909

Entry from Alexandria: an optimized crystal structure of Na7H6Pd5 (GGA-PBE).

E_tot	-3.263	eV per atom
crystal system	orthorhombic

Unit cell a=5.311 b=5.311 c=9.576 alpha=90.00 beta=90.00 gamma=104.87
Atoms (fractional coordinates):
H: 0.412 0.412 0.669
H: 0.999 0.999 0.166
H: 0.029 0.029 0.500
H: 0.460 0.460 0.000
H: 0.999 0.999 0.834
H: 0.412 0.412 0.331
Pd: 0.307 0.307 0.159
Pd: 0.727 0.727 0.844
Pd: 0.727 0.727 0.156
Pd: 0.307 0.307 0.841
Pd: 0.294 0.294 0.500
Na: 0.803 0.237 0.681
Na: 0.232 0.796 0.000
Na: 0.237 0.803 0.681
Na: 0.796 0.232 0.000
Na: 0.717 0.717 0.500
Na: 0.803 0.237 0.319
Na: 0.237 0.803 0.319

Entry from Alexandria: an optimized crystal structure of NaH2Pd3 (GGA-PBE).

E_tot	-4.092	eV per atom
excess energy over the best structure of this formula in the dataset	28.2	meV per atom
crystal system	monoclinic

Unit cell a=2.911 b=7.361 c=8.234 alpha=114.95 beta=90.00 gamma=101.41
Atoms (fractional coordinates):
Pd: 0.740 0.479 0.350
Pd: 0.598 0.197 0.669
Pd: 0.928 0.857 0.666
Pd: 0.402 0.803 0.331
Pd: 0.072 0.143 0.334
Pd: 0.260 0.521 0.650
Na: 0.127 0.255 0.014
Na: 0.873 0.745 0.986
H: 0.496 0.991 0.232
H: 0.504 0.009 0.768
H: 0.182 0.364 0.766
H: 0.818 0.636 0.234

Entry from Alexandria: an optimized crystal structure of NaHPd3 (GGA-PBE).

E_tot	-2.462	eV per atom
excess energy over the best structure of this formula in the dataset	1731.2	meV per atom
crystal system	cubic

Unit cell a=4.743 b=4.743 c=4.743 alpha=90.00 beta=90.00 gamma=90.00
Atoms (fractional coordinates):
Na: 0.000 0.000 0.000
Pd: 0.000 0.500 0.000
Pd: 0.500 0.000 0.000
Pd: 0.000 0.000 0.500
H: 0.500 0.500 0.500

Entry from Alexandria: an optimized crystal structure of NaH6Pd5 (GGA-PBE).

E_tot	-4.086	eV per atom
crystal system	monoclinic

Unit cell a=5.234 b=6.543 c=6.542 alpha=84.06 beta=130.00 gamma=130.00
Atoms (fractional coordinates):
H: 0.620 0.497 0.893
H: 0.380 0.108 0.503
H: 0.620 0.892 0.497
H: 0.822 0.246 0.246
H: 0.178 0.754 0.754
H: 0.380 0.503 0.107
Pd: 0.000 0.329 0.671
Pd: 0.500 0.500 0.500
Pd: 0.500 0.834 0.166
Pd: 0.000 0.671 0.329
Pd: 0.500 0.166 0.834
Na: 0.000 0.000 0.000

Entry from Alexandria: an optimized crystal structure of Na3HPd (GGA-PBE).

E_tot	-2.573	eV per atom
excess energy over the best structure of this formula in the dataset	0.0	meV per atom
crystal system	orthorhombic

Unit cell a=4.947 b=6.719 c=6.931 alpha=118.99 beta=90.00 gamma=90.00
Atoms (fractional coordinates):
Pd: 0.257 0.369 0.738
Pd: 0.757 0.631 0.262
Na: 0.257 0.803 0.606
Na: 0.257 0.345 0.174
Na: 0.257 0.829 0.174
Na: 0.757 0.655 0.826
Na: 0.757 0.197 0.394
Na: 0.757 0.171 0.826
H: 0.257 0.231 0.462
H: 0.757 0.769 0.538

Entry from Alexandria: an optimized crystal structure of NaH4Pd2 (GGA-PBE).

E_tot	-3.750	eV per atom
excess energy over the best structure of this formula in the dataset	0.0	meV per atom
crystal system	orthorhombic

Unit cell a=2.914 b=5.105 c=9.056 alpha=90.00 beta=90.00 gamma=106.59
Atoms (fractional coordinates):
Pd: 0.866 0.733 0.934
Pd: 0.134 0.267 0.066
Pd: 0.134 0.267 0.434
Pd: 0.866 0.733 0.566
H: 0.249 0.498 0.594
H: 0.249 0.498 0.906
H: 0.751 0.502 0.094
H: 0.071 0.143 0.250
H: 0.929 0.857 0.750
H: 0.751 0.502 0.406
H: 0.500 0.000 0.000
H: 0.500 0.000 0.500
Na: 0.397 0.794 0.250
Na: 0.603 0.206 0.750

Entry from Alexandria: an optimized crystal structure of NaHPd3 (GGA-PBE).

E_tot	-4.160	eV per atom
excess energy over the best structure of this formula in the dataset	32.5	meV per atom
crystal system	monoclinic

Unit cell a=18.986 b=4.702 c=7.900 alpha=90.00 beta=156.43 gamma=90.00
Atoms (fractional coordinates):
H: 0.274 0.108 0.704
H: 0.774 0.392 0.204
H: 0.726 0.892 0.296
H: 0.226 0.608 0.796
Pd: 0.759 0.250 0.680
Pd: 0.400 0.253 0.811
Pd: 0.150 0.245 0.602
Pd: 0.241 0.750 0.320
Pd: 0.741 0.750 0.820
Pd: 0.259 0.250 0.180
Pd: 0.100 0.753 0.689
Pd: 0.600 0.747 0.189
Pd: 0.850 0.755 0.398
Pd: 0.650 0.255 0.102
Pd: 0.900 0.247 0.311
Pd: 0.350 0.745 0.898
Na: 0.975 0.747 0.052
Na: 0.475 0.753 0.552
Na: 0.525 0.247 0.448
Na: 0.025 0.253 0.948

Entry from Alexandria: an optimized crystal structure of NaHPd3 (GGA-PBE).

E_tot	-4.123	eV per atom
excess energy over the best structure of this formula in the dataset	69.4	meV per atom
crystal system	monoclinic

Unit cell a=21.333 b=4.258 c=7.879 alpha=90.00 beta=157.20 gamma=90.00
Atoms (fractional coordinates):
Pd: 0.126 0.492 0.435
Pd: 0.130 0.991 0.208
Pd: 0.639 0.003 0.479
Pd: 0.630 0.509 0.708
Pd: 0.861 0.503 0.021
Pd: 0.870 0.009 0.792
Pd: 0.370 0.491 0.292
Pd: 0.139 0.497 0.979
Pd: 0.374 0.992 0.065
Pd: 0.874 0.508 0.565
Pd: 0.361 0.997 0.521
Pd: 0.626 0.008 0.935
H: 0.589 0.095 0.575
H: 0.911 0.595 0.925
H: 0.411 0.905 0.425
H: 0.089 0.405 0.075
Na: 0.386 0.495 0.847
Na: 0.114 0.995 0.653
Na: 0.614 0.505 0.153
Na: 0.886 0.005 0.347

Entry from Alexandria: an optimized crystal structure of NaHPd3 (GGA-PBE).

E_tot	-4.136	eV per atom
excess energy over the best structure of this formula in the dataset	57.1	meV per atom
crystal system	trigonal

Unit cell a=7.868 b=7.868 c=7.868 alpha=35.85 beta=35.85 gamma=35.85
Atoms (fractional coordinates):
Na: 0.334 0.334 0.334
Na: 0.666 0.666 0.666
Pd: 0.113 0.780 0.447
Pd: 0.447 0.113 0.780
Pd: 0.553 0.887 0.220
Pd: 0.220 0.553 0.887
Pd: 0.887 0.220 0.553
Pd: 0.780 0.447 0.113
H: 0.925 0.925 0.925
H: 0.075 0.075 0.075

Entry from Alexandria: an optimized crystal structure of Na2H2Pd (GGA-PBE).

E_tot	-3.152	eV per atom
excess energy over the best structure of this formula in the dataset	29.3	meV per atom
crystal system	monoclinic

Unit cell a=4.950 b=5.842 c=6.357 alpha=116.86 beta=90.00 gamma=115.07
Atoms (fractional coordinates):
H: 0.503 0.006 0.812
H: 0.187 0.374 0.618
H: 0.813 0.626 0.382
H: 0.497 0.994 0.188
Na: 0.960 0.921 0.205
Na: 0.311 0.621 0.370
Na: 0.040 0.079 0.795
Na: 0.689 0.379 0.630
Pd: 0.650 0.300 0.115
Pd: 0.350 0.700 0.885

Entry from Alexandria: an optimized crystal structure of Na3H4Pd2 (GGA-PBE).

E_tot	-3.325	eV per atom
excess energy over the best structure of this formula in the dataset	19.4	meV per atom
crystal system	triclinic

Unit cell a=5.417 b=6.392 c=7.028 alpha=98.27 beta=99.47 gamma=97.46
Atoms (fractional coordinates):
H: 0.345 0.268 0.248
H: 0.471 0.855 0.368
H: 0.529 0.145 0.632
H: 0.159 0.462 0.937
H: 0.122 0.728 0.690
H: 0.655 0.732 0.752
H: 0.841 0.538 0.063
H: 0.878 0.272 0.310
Na: 0.263 0.397 0.575
Na: 0.468 0.755 0.022
Na: 0.938 0.058 0.753
Na: 0.737 0.603 0.425
Na: 0.062 0.942 0.247
Na: 0.532 0.245 0.978
Pd: 0.384 0.873 0.619
Pd: 0.080 0.386 0.154
Pd: 0.616 0.127 0.381
Pd: 0.920 0.614 0.846

Entry from Alexandria: an optimized crystal structure of Na3H9Pd2 (GGA-PBE).

E_tot	-3.314	eV per atom
crystal system	trigonal

Unit cell a=5.049 b=5.049 c=6.281 alpha=90.00 beta=90.00 gamma=120.00
Atoms (fractional coordinates):
H: 0.176 0.824 0.684
H: 0.353 0.176 0.316
H: 0.824 0.647 0.316
H: 0.647 0.824 0.684
H: 0.824 0.176 0.316
H: 0.176 0.353 0.684
H: 0.500 0.500 0.000
H: 0.500 0.000 0.000
H: 0.000 0.500 0.000
Pd: 0.333 0.667 0.835
Pd: 0.667 0.333 0.165
Na: 0.667 0.333 0.650
Na: 0.000 0.000 0.000
Na: 0.333 0.667 0.350

Asked for size of the total moment across the records above, the calculation gives 0.0 0.0 0.0 0.0 0.0 0.0 0.0 0.0 0.0 0.0 0.0 0.0 0.0 0.0 0.0 0.0 0.0 0.0 0.0 0.0 μB per formula unit in order.